Entry 1:
An optimized crystal structure of Sm3HoIn3, computed with PBE.

Computed properties:
The density comes out at 7.59 g/cm3. The energy above the most stable polymorph in this dataset comes out at 0.0 kJ/mol of formula units. The space group is P2_13, No. 198. As for the formation energy: -0.3254 eV per atom.

a b c (Å): 9.439 9.439 9.439
angles (deg): 90.00 90.00 90.00
Fractional positions:
Ho1 0.923 0.077 0.577
Ho2 0.423 0.423 0.423
Ho3 0.077 0.577 0.923
Ho4 0.577 0.923 0.077
Sm1 0.828 0.328 0.172
Sm2 0.675 0.325 0.825
Sm3 0.070 0.430 0.570
Sm4 0.570 0.070 0.430
Sm5 0.175 0.175 0.175
Sm6 0.328 0.172 0.828
Sm7 0.930 0.930 0.930
Sm8 0.172 0.828 0.328
Sm9 0.430 0.570 0.070
Sm10 0.825 0.675 0.325
Sm11 0.672 0.672 0.672
Sm12 0.325 0.825 0.675
In1 0.870 0.002 0.255
In2 0.998 0.755 0.630
In3 0.502 0.245 0.130
In4 0.370 0.498 0.745
In5 0.002 0.255 0.870
In6 0.745 0.370 0.498
In7 0.755 0.630 0.998
In8 0.130 0.502 0.245
In9 0.245 0.130 0.502
In10 0.498 0.745 0.370
In11 0.630 0.998 0.755
In12 0.255 0.870 0.002

Entry 2:
An optimized crystal structure of PmTm3, computed with PBE.

Computed properties:
The density comes out at 8.71 g/cm3. The energy above the most stable polymorph in this dataset comes out at 7.8 kJ/mol of formula units. The space group is Pm-3m, No. 221. As for the formation energy: 0.0269 eV per atom.

a b c (Å): 4.990 4.990 4.990
angles (deg): 90.00 90.00 90.00
Fractional positions:
Tm1 0.500 0.500 0.000
Tm2 0.500 0.000 0.500
Tm3 0.000 0.500 0.500
Pm1 0.000 0.000 0.000

Entry 3:
An optimized crystal structure of SrHgTe, computed with PBE.

Computed properties:
The density comes out at 6.48 g/cm3. As for the formation energy without anion corrections: -946 meV per atom. The energy above the most stable polymorph in this dataset comes out at 3.5 kJ/mol of formula units. The space group is P3m1, No. 156.

a b c (Å): 4.863 4.863 5.201
angles (deg): 90.00 90.00 120.00
Fractional positions:
Hg1 0.000 0.000 0.991
Te1 0.333 0.667 0.672
Sr1 0.667 0.333 0.337

Entry 4:
An optimized crystal structure of Eu2PuCu, computed with PBE.

Computed properties:
The density comes out at 8.31 g/cm3. The energy above the most stable polymorph in this dataset comes out at 59.9 kJ/mol of formula units. The space group is R-3m, No. 166. As for the formation energy: 0.2723 eV per atom.

a b c (Å): 3.631 3.631 10.904
angles (deg): 80.42 80.42 60.00
Fractional positions:
Cu1 0.500 0.500 0.500
Eu1 0.766 0.766 0.703
Eu2 0.234 0.234 0.297
Pu1 0.000 0.000 0.000

Entry 5:
An optimized crystal structure of NaLaMn2Cr, computed with PBE.

Computed properties:
The density comes out at 4.40 g/cm3. The space group is P4/mmm, No. 123. As for the formation energy: 1.2805 eV per atom.

a b c (Å): 4.943 4.995 4.943
angles (deg): 90.00 90.00 90.00
Fractional positions:
Cr1 0.000 0.500 0.000
Mn1 0.000 0.000 0.500
Mn2 0.500 0.000 0.000
Na1 0.000 0.000 0.000
La1 0.500 0.500 0.500

Entry 6:
An optimized crystal structure of ErNbSi2, computed with PBE.

Computed properties:
The density comes out at 6.63 g/cm3. As for the formation energy without anion corrections: -449 meV per atom. The space group is R-3m, No. 166.

a b c (Å): 3.782 3.782 6.763
angles (deg): 73.76 73.76 60.00
Fractional positions:
Nb1 0.000 0.000 0.000
Si1 0.260 0.260 0.221
Si2 0.740 0.740 0.779
Er1 0.500 0.500 0.500